*P*
## Pu2TaGa (PBE)

Data for a geometry-optimized Pu2TaGa structure.

Lattice parameters (Å, degrees): 7.011 7.011 7.011 90.00 90.00 90.00
Space group Fm-3m (No. 225)
Symmetry-distinct sites (fractional):
Pu1 0.250 0.250 0.250 x8
Ta1 0.000 0.000 0.000 x4
Ga1 0.000 0.000 0.500 x4

***

*Q*
## Pu2TaGa (PBE)

Data for a geometry-optimized Pu2TaGa structure.

Lattice parameters (Å, degrees): 5.389 5.389 2.990 90.00 90.00 90.00
Space group P4/mmm (No. 123)
Symmetry-distinct sites (fractional):
Pu1 0.000 0.500 0.000 x2
Ta1 0.000 0.000 0.500 x1
Ga1 0.500 0.500 0.500 x1

***

Most stable to least stable, the ends of the list are *Q* and *P*.

***

*P*
## PuTaGa2 (PBE)

Data for a geometry-optimized PuTaGa2 structure.

Lattice parameters (Å, degrees): 3.493 3.493 6.320 90.00 90.00 90.00
Space group P4/mmm (No. 123)
Symmetry-distinct sites (fractional):
Pu1 0.000 0.000 0.000 x1
Ta1 0.000 0.000 0.500 x1
Ga1 0.500 0.500 0.292 x2

***

*Q*
## PuTaGa2 (PBE)

Data for a geometry-optimized PuTaGa2 structure.

Lattice parameters (Å, degrees): 2.9421 2.9421 31.8408 90.00 90.00 120.00
Space group R-3m (No. 166, hexagonal axes)
Symmetry-distinct sites (fractional):
Pu1 0.0000 0.0000 0.0000 x3
Ta1 0.0000 0.0000 0.5000 x3
Ga1 0.0000 0.0000 0.0940 x6

***

Most stable to least stable, the ends of the list are *P* and *Q*.

***

*P*
## TbPuGa4 (PBE)

Data for a geometry-optimized TbPuGa4 structure.

Lattice parameters (Å, degrees): 7.822 7.822 7.822 90.00 90.00 90.00
Space group F-43m (No. 216)
Symmetry-distinct sites (fractional):
Tb1 0.000 0.000 0.000 x4
Pu1 0.250 0.250 0.250 x4
Ga1 0.125 0.125 0.625 x16

***

*Q*
## TbPuGa4 (PBE)

Data for a geometry-optimized TbPuGa4 structure.

Lattice parameters (Å, degrees): 4.426 7.320 7.679 90.00 90.00 90.00
Space group Immm (No. 71)
Symmetry-distinct sites (fractional):
Tb1 0.000 0.000 0.000 x2
Pu1 0.000 0.500 0.000 x2
Ga1 0.000 0.251 0.333 x8

***

Most stable to least stable, the ends of the list are *Q* and *P*.

***

*P*
## TbPu2Ga (PBE)

Data for a geometry-optimized TbPu2Ga structure.

Lattice parameters (Å, degrees): 7.399 7.399 7.399 90.00 90.00 90.00
Space group Fm-3m (No. 225)
Symmetry-distinct sites (fractional):
Tb1 0.000 0.000 0.000 x4
Pu1 0.250 0.250 0.250 x8
Ga1 0.000 0.000 0.500 x4

***

*Q*
## TbPu2Ga (PBE)

Data for a geometry-optimized TbPu2Ga structure.

Lattice parameters (Å, degrees): 4.414 4.414 5.021 90.00 90.00 90.00
Space group P4/mmm (No. 123)
Symmetry-distinct sites (fractional):
Tb1 0.000 0.000 0.000 x1
Pu1 0.000 0.500 0.500 x2
Ga1 0.500 0.500 0.000 x1

***

Most stable to least stable, the ends of the list are *Q* and *P*.

***

*P*
## PuGa2Tc (PBE)

Data for a geometry-optimized PuGa2Tc structure.

Lattice parameters (Å, degrees): 2.8941 2.8941 30.4415 90.00 90.00 120.00
Space group R-3m (No. 166, hexagonal axes)
Symmetry-distinct sites (fractional):
Pu1 0.0000 0.0000 0.0000 x3
Ga1 0.0000 0.0000 0.0982 x6
Tc1 0.0000 0.0000 0.5000 x3

***

*Q*
## PuGa2Tc (PBE)

Data for a geometry-optimized PuGa2Tc structure.

Lattice parameters (Å, degrees): 4.557 6.582 5.042 90.00 106.03 90.00
Space group P2_1/m (No. 11)
Symmetry-distinct sites (fractional):
Pu1 0.041 0.250 0.141 x2
Ga1 0.417 0.052 0.727 x4
Tc1 0.116 0.750 0.405 x2

***

Most stable to least stable, the ends of the list are *Q* and *P*.

***

*P*
## PuGa2Tc (PBE)

Data for a geometry-optimized PuGa2Tc structure.

Lattice parameters (Å, degrees): 2.9336 2.9336 28.1601 90.00 90.00 120.00
Space group R3m (No. 160, hexagonal axes)
Symmetry-distinct sites (fractional):
Pu1 0.0000 0.0000 0.0000 x3
Ga1 0.0000 0.0000 0.5719 x3
Ga2 0.0000 0.0000 0.7608 x3
Tc1 0.0000 0.0000 0.1663 x3

***

*Q*
## PuGa2Tc (PBE)

Data for a geometry-optimized PuGa2Tc structure.

Lattice parameters (Å, degrees): 3.225 3.225 6.888 90.00 90.00 90.00
Space group P4/mmm (No. 123)
Symmetry-distinct sites (fractional):
Pu1 0.000 0.000 0.000 x1
Ga1 0.500 0.500 0.305 x2
Tc1 0.000 0.000 0.500 x1

***

Most stable to least stable, the ends of the list are *Q* and *P*.

***

*P*
## Pu3GaTc (PBE)

Data for a geometry-optimized Pu3GaTc structure.

Lattice parameters (Å, degrees): 5.521 4.608 7.452 90.00 101.56 90.00
Space group P2_1/m (No. 11)
Symmetry-distinct sites (fractional):
Pu1 0.067 0.250 0.364 x2
Pu2 0.153 0.750 0.038 x2
Pu3 0.293 0.750 0.464 x2
Ga1 0.299 0.250 0.770 x2
Tc1 0.454 0.250 0.146 x2

***

*Q*
## Pu3GaTc (PBE)

Data for a geometry-optimized Pu3GaTc structure.

Lattice parameters (Å, degrees): 8.282 8.187 11.202 90.00 103.79 90.00
Space group C2/c (No. 15)
Symmetry-distinct sites (fractional):
Pu1 0.053 0.184 0.007 x8
Pu2 0.128 0.493 0.075 x8
Pu3 0.231 0.052 0.583 x8
Ga1 0.000 0.026 0.750 x4
Ga2 0.000 0.288 0.250 x4
Tc1 0.177 0.299 0.753 x8

***

Most stable to least stable, the ends of the list are *P* and *Q*.

***

*P*
## Pu6GaTc2 (PBE)

Data for a geometry-optimized Pu6GaTc2 structure.

Lattice parameters (Å, degrees): 10.246 4.633 7.280 90.00 103.75 90.00
Space group C2/m (No. 12)
Symmetry-distinct sites (fractional):
Pu1 0.088 0.000 0.344 x4
Pu2 0.186 0.000 0.956 x4
Pu3 0.233 0.500 0.340 x4
Ga1 0.000 0.500 0.000 x2
Tc1 0.078 0.500 0.662 x4

***

*Q*
## Pu6GaTc2 (PBE)

Data for a geometry-optimized Pu6GaTc2 structure.

Lattice parameters (Å, degrees): 8.5623 8.5623 2.3879 90.00 90.00 120.00
Space group P-31m (No. 162)
Symmetry-distinct sites (fractional):
Pu1 0.0000 0.3372 0.3104 x6
Ga1 0.0000 0.0000 0.0000 x1
Tc1 0.3333 0.6667 0.0000 x2

***

Most stable to least stable, the ends of the list are *P* and *Q*.

***

*P*
## Pu2Ga6Tc (PBE)

Data for a geometry-optimized Pu2Ga6Tc structure.

Lattice parameters (Å, degrees): 9.917 7.203 5.624 90.00 119.87 90.00
Space group C2/m (No. 12)
Symmetry-distinct sites (fractional):
Pu1 0.196 0.000 0.346 x4
Ga1 0.000 0.332 0.000 x4
Ga2 0.136 0.180 0.768 x8
Tc1 0.000 0.500 0.500 x2

***

*Q*
## Pu2Ga6Tc (PBE)

Data for a geometry-optimized Pu2Ga6Tc structure.

Lattice parameters (Å, degrees): 10.185 5.725 6.041 90.00 102.87 90.00
Space group C2/m (No. 12)
Symmetry-distinct sites (fractional):
Pu1 0.143 0.000 0.359 x4
Ga1 0.127 0.235 0.834 x8
Ga2 0.138 0.500 0.200 x4
Tc1 0.000 0.500 0.500 x2

***

Most stable to least stable, the ends of the list are *Q* and *P*.

***

*P*
## Pu2GaTe (PBE)

Data for a geometry-optimized Pu2GaTe structure.

Lattice parameters (Å, degrees): 7.374 7.374 7.374 90.00 90.00 90.00
Space group Fm-3m (No. 225)
Symmetry-distinct sites (fractional):
Pu1 0.250 0.250 0.250 x8
Ga1 0.000 0.000 0.000 x4
Te1 0.000 0.000 0.500 x4

***

*Q*
## Pu2GaTe (PBE)

Data for a geometry-optimized Pu2GaTe structure.

Lattice parameters (Å, degrees): 3.916 3.916 6.547 90.00 90.00 90.00
Space group P4/mmm (No. 123)
Symmetry-distinct sites (fractional):
Pu1 0.000 0.000 0.238 x2
Ga1 0.500 0.500 0.000 x1
Te1 0.500 0.500 0.500 x1

***

Most stable to least stable, the ends of the list are *Q* and *P*.

***

*P*
## Pu2ThGa6 (PBE)

Data for a geometry-optimized Pu2ThGa6 structure.

Lattice parameters (Å, degrees): 7.8896 7.8896 3.5382 90.00 90.00 120.00
Space group P6/mmm (No. 191)
Symmetry-distinct sites (fractional):
Pu1 0.3333 0.6667 0.0000 x2
Th1 0.0000 0.0000 0.0000 x1
Ga1 0.0000 0.3359 0.5000 x6

***

*Q*
## Pu2ThGa6 (PBE)

Data for a geometry-optimized Pu2ThGa6 structure.

Lattice parameters (Å, degrees): 4.426 7.137 12.949 90.00 90.00 90.00
Space group Immm (No. 71)
Symmetry-distinct sites (fractional):
Pu1 0.000 0.000 0.121 x4
Th1 0.000 0.500 0.000 x2
Ga1 0.000 0.194 0.315 x8
Ga2 0.000 0.313 0.500 x4

***

Most stable to least stable, the ends of the list are *P* and *Q*.

***

*P*
## PuThGa (PBE)

Data for a geometry-optimized PuThGa structure.

Lattice parameters (Å, degrees): 3.901 3.901 9.741 90.00 90.00 90.00
Space group I4mm (No. 107)
Symmetry-distinct sites (fractional):
Pu1 0.000 0.000 0.000 x2
Th1 0.000 0.000 0.685 x2
Ga1 0.000 0.000 0.347 x2

***

*Q*
## PuThGa (PBE)

Data for a geometry-optimized PuThGa structure.

Lattice parameters (Å, degrees): 4.370 4.370 8.160 90.00 90.00 90.00
Space group P4/nmm (No. 129, origin choice 2)
Symmetry-distinct sites (fractional):
Pu1 0.250 0.750 0.000 x2
Th1 0.250 0.250 0.351 x2
Ga1 0.250 0.250 0.731 x2

***

*R*
## PuThGa (PBE)

Data for a geometry-optimized PuThGa structure.

Lattice parameters (Å, degrees): 5.0540 5.0540 3.3767 90.00 90.00 120.00
Space group P3m1 (No. 156)
Symmetry-distinct sites (fractional):
Pu1 0.0000 0.0000 0.0000 x1
Th1 0.3333 0.6667 0.3846 x1
Ga1 0.6667 0.3333 0.7557 x1

***

Most stable to least stable, the ends of the list are *Q* and *R*.

***

*P*
## PuThGa4 (PBE)

Data for a geometry-optimized PuThGa4 structure.

Lattice parameters (Å, degrees): 4.225 4.225 14.895 90.00 90.00 90.00
Space group I-4m2 (No. 119)
Symmetry-distinct sites (fractional):
Pu1 0.000 0.000 0.000 x2
Th1 0.000 0.500 0.250 x2
Ga1 0.000 0.000 0.418 x4
Ga2 0.000 0.500 0.666 x4

***

*Q*
## PuThGa4 (PBE)

Data for a geometry-optimized PuThGa4 structure.

Lattice parameters (Å, degrees): 4.5630 4.5630 7.0597 90.00 90.00 120.00
Space group P6/mmm (No. 191)
Symmetry-distinct sites (fractional):
Pu1 0.0000 0.0000 0.0000 x1
Th1 0.0000 0.0000 0.5000 x1
Ga1 0.3333 0.6667 0.2323 x4

***

Most stable to least stable, the ends of the list are *P* and *Q*.